Entry 1:
Th2CdAg2 (GGA-PBE, relaxed); total magnetization = 0.00 μB/atom; total DFT energy (no corrections) = -4.4208 eV/atom
1.0
3.3346 0.0000 0.0000
0.0000 4.8883 -0.0887
0.0000 -2.2992 7.7419
Th Cd Ag
2 1 2
Direct
0.5000 0.3819 0.7629 Th
0.5000 0.6181 0.2371 Th
0.0000 0.0000 0.0000 Cd
0.0000 0.8008 0.6012 Ag
0.0000 0.1992 0.3988 Ag

---

Entry 2:
V4Ga (GGA-PBE, relaxed); offset from the most stable computed form = 0 meV/atom; total magnetization = 0.00 μB/atom; total DFT energy (no corrections) = -7.6229 eV/atom
1.0
3.9938 0.0000 0.0000
0.0000 6.6603 0.6023
0.0000 -0.5290 5.8482
V Ga
8 2
Direct
0.2500 0.3215 0.2500 V
0.7500 0.6785 0.2500 V
0.7500 0.6785 0.7500 V
0.2500 0.3215 0.7500 V
0.7535 0.3557 0.5000 V
0.2535 0.6443 0.0000 V
0.2465 0.6443 0.5000 V
0.7465 0.3557 0.0000 V
0.0000 0.0000 0.0000 Ga
0.5000 0.0000 0.5000 Ga

---

Entry 3:
Ac5Co3 (GGA-PBE, relaxed); total magnetization = 0.00 μB/atom; total DFT energy (no corrections) = -5.1640 eV/atom
1.0
-3.5091 -7.4314 0.9305
7.4005 -3.5985 -0.8299
1.8753 0.7826 13.3113
Ac Co
20 12
Direct
0.8036 0.8734 0.6141 Ac
0.1964 0.8735 0.1142 Ac
0.1267 0.8038 0.3858 Ac
0.9999 0.5000 0.6868 Ac
0.8735 0.1964 0.3859 Ac
0.6964 0.6266 0.3859 Ac
0.6265 0.3036 0.6141 Ac
0.3733 0.6962 0.6142 Ac
0.0001 0.5001 0.1869 Ac
0.6266 0.6964 0.1142 Ac
0.6962 0.3733 0.8858 Ac
0.8734 0.8036 0.8858 Ac
0.3038 0.3734 0.3858 Ac
0.1962 0.1266 0.6142 Ac
0.8038 0.1267 0.1142 Ac
0.3036 0.6265 0.8858 Ac
0.3734 0.3038 0.1142 Ac
0.5001 0.0000 0.3132 Ac
0.1266 0.1962 0.8858 Ac
0.4999 0.9999 0.8131 Ac
0.6285 0.3716 0.2500 Co
0.1283 0.8715 0.7500 Co
0.3715 0.3715 0.7500 Co
0.3717 0.6285 0.2500 Co
0.8716 0.8716 0.2500 Co
0.6284 0.6284 0.7500 Co
0.0002 0.5000 0.4756 Co
0.8715 0.1284 0.7500 Co
0.4998 0.0000 0.5244 Co
0.5001 0.0002 0.0244 Co
0.1285 0.1285 0.2500 Co
0.9999 0.4998 0.9756 Co

---

Entry 4:
InIN2 (GGA-PBE, relaxed); raw formation energy = 1.485 eV/atom; offset from the most stable computed form = 1619 meV/atom; total magnetization = 0.00 μB/atom; total DFT energy (no corrections) = -3.7501 eV/atom
1.0
2.0043 0.0000 6.8765
-1.0021 1.7357 6.8765
-1.0021 -1.7357 6.8765
I N In
1 2 1
Direct
0.5000 0.5000 0.5000 I
0.8899 0.8899 0.8899 N
0.1101 0.1101 0.1101 N
0.0000 0.0000 0.0000 In

---

Entry 5:
Tl2In2Sn (GGA-PBE, relaxed); offset from the most stable computed form = 103 meV/atom; total magnetization = 0.00 μB/atom; total DFT energy (no corrections) = -2.7092 eV/atom
1.0
8.8097 0.0000 0.0000
0.0000 8.8097 0.0000
0.0000 0.0000 3.8386
Tl Sn In
4 2 4
Direct
0.3593 0.8593 0.0000 Tl
0.8593 0.6407 0.0000 Tl
0.6407 0.1407 0.0000 Tl
0.1407 0.3593 0.0000 Tl
0.0000 0.0000 0.0000 Sn
0.5000 0.5000 0.0000 Sn
0.1605 0.6605 0.5000 In
0.6605 0.8395 0.5000 In
0.8395 0.3395 0.5000 In
0.3395 0.1605 0.5000 In

---

Entry 6:
LuTaTc2 (GGA-PBE, relaxed); offset from the most stable computed form = 39 meV/atom; total magnetization = 0.00 μB/atom; total DFT energy (no corrections) = -9.4831 eV/atom
1.0
4.6092 0.0000 0.0000
2.3046 3.9917 0.0000
2.3046 1.3306 3.7634
Lu Tc Ta
1 2 1
Direct
0.0000 0.0000 0.0000 Lu
0.2500 0.2500 0.2500 Tc
0.7500 0.7500 0.7500 Tc
0.5000 0.5000 0.5000 Ta